1.
Material: PmAg3
Method: DFT, PBE
State: optimized geometry

## Properties
theoretical density = 8.929 g cm⁻³
ΔE_f = -0.046 eV/atom
spin magnetization = 0.00 μB/atom
crystal system = orthorhombic
final energy = -13.49 eV/f.u.

Structure (extended XYZ):
```
4
Lattice="3.233 0.000 0.000 0.000 5.013 0.000 0.000 0.000 5.378" Properties=species:S:1:pos:R:3 pbc="T T T"
Ag 0.000 0.000 5.247
Ag 1.616 0.000 2.828
Ag 1.616 2.506 4.480
Pm 0.000 2.506 1.786
```

=====

2.
Material: PmAg6
Method: DFT, PBE
State: optimized geometry

## Properties
theoretical density = 9.143 g cm⁻³
ΔE_f = -0.116 eV/atom
spin magnetization = 0.00 μB/atom
distance to the lowest polymorph of the same formula = 0 meV/atom
crystal system = orthorhombic
final energy = -22.67 eV/f.u.

Structure (extended XYZ):
```
28
Lattice="-2.805 2.240 -4.445 -4.245 -7.759 -1.232 -8.235 3.408 6.916" Properties=species:S:1:pos:R:3 pbc="T T T"
Pm -10.807 2.974 2.812
Pm -4.479 -5.085 -1.572
Pm -9.935 -2.145 -0.318
Pm -5.350 0.034 1.558
Ag -4.839 -2.950 -3.941
Ag -10.447 0.839 5.181
Ag -6.505 2.497 -0.144
Ag -8.780 -4.608 1.383
Ag -3.463 -2.724 0.747
Ag -10.470 -0.467 2.635
Ag -7.897 -5.127 -1.206
Ag -8.741 4.096 0.303
Ag -11.822 0.613 0.493
Ag -4.816 -1.644 -1.396
Ag -7.388 3.016 2.446
Ag -6.545 -6.207 0.937
Ag -2.559 -0.062 -0.252
Ag -12.727 -2.049 1.492
Ag -6.324 -3.261 0.512
Ag -8.961 1.150 0.728
Ag -10.456 -3.155 3.174
Ag -4.829 1.044 -1.934
Ag -8.093 0.625 3.587
Ag -7.192 -2.736 -2.347
Ag -7.929 -1.833 2.245
Ag -7.357 -0.278 -1.005
Ag -8.507 3.164 5.129
Ag -6.778 -5.275 -3.889
```

=====

3.
Material: Pm5Ag3
Method: DFT, PBE
State: optimized geometry

## Properties
theoretical density = 7.684 g cm⁻³
ΔE_f = -0.185 eV/atom
spin magnetization = 0.00 μB/atom
crystal system = tetragonal
final energy = -33.79 eV/f.u.

Structure (extended XYZ):
```
8
Lattice="3.694 0.000 0.000 0.000 3.694 0.000 0.000 0.000 16.611" Properties=species:S:1:pos:R:3 pbc="T T T"
Pm 0.000 0.000 3.778
Pm 1.847 1.847 10.219
Pm 1.847 1.847 6.392
Pm 0.000 0.000 12.833
Pm 0.000 0.000 0.000
Ag 1.847 1.847 1.886
Ag 1.847 1.847 14.725
Ag 0.000 0.000 8.305
```

=====

4.
Material: Pm2Ag
Method: DFT, PBE
State: optimized geometry

## Properties
theoretical density = 7.609 g cm⁻³
ΔE_f = -0.165 eV/atom
spin magnetization = 0.00 μB/atom
distance to the lowest polymorph of the same formula = 0 meV/atom
crystal system = tetragonal
final energy = -12.85 eV/f.u.

Structure (extended XYZ):
```
6
Lattice="3.712 0.000 0.000 0.000 3.712 0.000 0.000 0.000 12.603" Properties=species:S:1:pos:R:3 pbc="T T T"
Pm 1.856 1.856 0.000
Pm 1.856 1.856 3.745
Pm 0.000 0.000 6.302
Pm 1.856 1.856 8.858
Ag 0.000 0.000 10.720
Ag 0.000 0.000 1.883
```

=====

5.
Material: Pm3Ag11
Method: DFT, PBE
State: optimized geometry

## Properties
theoretical density = 8.771 g cm⁻³
ΔE_f = -0.164 eV/atom
spin magnetization = 0.00 μB/atom
crystal system = orthorhombic
final energy = -47.91 eV/f.u.

Structure (extended XYZ):
```
14
Lattice="4.526 0.000 1.268 1.467 7.760 3.477 0.024 -0.313 8.623" Properties=species:S:1:pos:R:3 pbc="T T T"
Pm 0.000 0.000 0.000
Pm 2.401 5.214 8.851
Pm 3.616 2.234 4.517
Ag 4.068 5.049 11.614
Ag 4.566 2.885 9.835
Ag 4.473 7.313 10.171
Ag 2.738 2.208 7.651
Ag 0.813 0.990 5.810
Ag 0.745 3.724 6.050
Ag 5.205 6.457 7.558
Ag 3.279 5.240 5.718
Ag 1.545 0.134 3.198
Ag 1.451 4.562 3.533
Ag 1.949 2.399 1.754
```

=====

6.
Material: Pm6Ag5
Method: DFT, PBE
State: optimized geometry

## Properties
theoretical density = 7.695 g cm⁻³
ΔE_f = -0.171 eV/atom
spin magnetization = 0.00 μB/atom
crystal system = monoclinic
final energy = -44.64 eV/f.u.

Structure (extended XYZ):
```
11
Lattice="4.994 0.002 -1.553 -0.860 6.870 -2.755 0.046 -0.414 9.031" Properties=species:S:1:pos:R:3 pbc="T T T"
Pm 1.850 5.173 -2.851
Pm 2.331 1.285 7.573
Pm 4.137 0.304 4.549
Pm 3.704 3.769 3.159
Pm 0.043 6.154 0.174
Pm 0.477 2.690 1.563
Ag -0.430 3.435 -1.378
Ag 2.781 4.456 0.166
Ag 1.399 2.003 4.557
Ag 0.962 5.426 3.153
Ag 3.218 1.032 1.569
```

=====

7.
Material: Pm3Ag
Method: DFT, PBE
State: optimized geometry

## Properties
theoretical density = 7.641 g cm⁻³
ΔE_f = 0.092 eV/atom
spin magnetization = 0.00 μB/atom
distance to the lowest polymorph of the same formula = 183 meV/atom
crystal system = cubic
final energy = -16.74 eV/f.u.

Structure (extended XYZ):
```
4
Lattice="5.505 0.000 0.000 2.753 4.768 0.000 2.753 1.589 4.495" Properties=species:S:1:pos:R:3 pbc="T T T"
Ag 5.505 3.178 2.247
Pm 0.000 0.000 0.000
Pm 8.258 4.768 3.371
Pm 2.753 1.589 1.124
```

=====

8.
Material: PmPr6Ag2
Method: DFT, PBE
State: optimized geometry

## Properties
theoretical density = 7.007 g cm⁻³
ΔE_f = -0.019 eV/atom
spin magnetization = 0.00 μB/atom
distance to the lowest polymorph of the same formula = 81 meV/atom
crystal system = monoclinic
final energy = -39.30 eV/f.u.

Structure (extended XYZ):
```
18
Lattice="-1.280 -3.009 -5.373 -6.509 -5.938 4.228 -8.790 4.177 -0.894" Properties=species:S:1:pos:R:3 pbc="T T T"
Pm -8.876 2.390 -1.713
Pm -7.703 -7.159 -0.326
Pr -8.921 -3.695 -0.220
Pr -7.755 -4.985 -3.287
Pr -7.657 -1.075 -1.818
Pr -8.824 0.215 1.248
Pr -4.612 -1.190 -3.474
Pr -13.162 -2.623 -2.498
Pr -11.967 -3.580 1.435
Pr -3.417 -2.146 0.459
Pr -5.490 -5.088 1.367
Pr -8.882 -5.127 2.800
Pr -11.089 0.318 -3.406
Pr -7.696 0.357 -4.838
Ag -11.001 -1.093 -0.600
Ag -5.521 0.415 -0.062
Ag -5.578 -3.677 -1.439
Ag -11.057 -5.184 -1.977
```

=====

9.
Material: PmPr6Ag2
Method: DFT, PBE
State: optimized geometry

## Properties
theoretical density = 6.974 g cm⁻³
ΔE_f = -0.100 eV/atom
spin magnetization = 0.00 μB/atom
distance to the lowest polymorph of the same formula = 0 meV/atom
crystal system = monoclinic
final energy = -40.03 eV/f.u.

Structure (extended XYZ):
```
9
Lattice="-2.909 -1.627 1.833 1.576 -6.538 0.645 4.933 -0.876 10.999" Properties=species:S:1:pos:R:3 pbc="T T T"
Pm 0.000 0.000 0.000
Pr -0.586 -4.536 2.939
Pr 4.185 -4.505 10.539
Pr 3.238 -6.155 7.571
Pr -0.063 -6.568 5.913
Pr 3.662 -2.473 7.565
Pr 0.361 -2.886 5.907
Ag 0.082 -1.359 2.871
Ag 3.518 -7.682 10.607
```

=====

10.
Material: PmPr2Ag
Method: DFT, PBE
State: optimized geometry

## Properties
theoretical density = 7.002 g cm⁻³
ΔE_f = -0.058 eV/atom
spin magnetization = 0.00 μB/atom
distance to the lowest polymorph of the same formula = 41 meV/atom
crystal system = orthorhombic
final energy = -17.39 eV/f.u.

Structure (extended XYZ):
```
8
Lattice="-2.323 0.224 -4.515 -1.988 -5.137 3.629 -5.930 4.613 3.280" Properties=species:S:1:pos:R:3 pbc="T T T"
Pm -5.462 -3.230 -0.210
Pm -4.780 2.930 2.605
Pr -5.431 -1.169 2.737
Pr -4.811 0.869 -0.342
Pr -8.010 0.837 4.163
Pr -2.232 -1.137 -1.769
Ag -7.475 0.594 1.017
Ag -2.767 -0.894 1.377
```

=====

11.
Material: PmPr2Ag
Method: DFT, PBE
State: optimized geometry

## Properties
theoretical density = 6.881 g cm⁻³
ΔE_f = 0.012 eV/atom
spin magnetization = 0.00 μB/atom
distance to the lowest polymorph of the same formula = 111 meV/atom
crystal system = trigonal
final energy = -17.11 eV/f.u.

Structure (extended XYZ):
```
4
Lattice="-2.751 -1.935 -1.586 0.758 -2.426 -2.715 0.601 -9.254 5.889" Properties=species:S:1:pos:R:3 pbc="T T T"
Pm -0.695 -6.819 0.805
Pr 0.320 -7.524 4.265
Pr -0.384 -3.183 0.190
Ag -0.730 -12.150 3.011
```

=====

12.
Material: PmPrAg
Method: DFT, PBE
State: optimized geometry

## Properties
theoretical density = 7.316 g cm⁻³
ΔE_f = -0.144 eV/atom
spin magnetization = 0.19 μB/atom
distance to the lowest polymorph of the same formula = 10 meV/atom
crystal system = tetragonal
final energy = -12.81 eV/f.u.

Structure (extended XYZ):
```
3
Lattice="3.748 0.000 0.000 0.000 3.748 0.000 -1.874 -1.874 6.362" Properties=species:S:1:pos:R:3 pbc="T T T"
Pr 0.000 0.000 0.215
Ag 1.874 1.874 2.169
Pm 0.000 0.000 3.978
```

=====

13.
Material: Pm3Pr2Ag2
Method: DFT, PBE
State: optimized geometry

## Properties
theoretical density = 7.203 g cm⁻³
ΔE_f = -0.087 eV/atom
spin magnetization = 0.00 μB/atom
distance to the lowest polymorph of the same formula = 33 meV/atom
crystal system = orthorhombic
final energy = -30.12 eV/f.u.

Structure (extended XYZ):
```
7
Lattice="-2.513 2.046 1.725 -2.538 -1.073 -2.425 -4.939 -11.378 10.206" Properties=species:S:1:pos:R:3 pbc="T T T"
Pm -3.393 -0.917 3.957
Pm 0.000 0.000 0.000
Pm -6.596 -9.488 5.549
Pr -5.980 -5.895 6.091
Pr -4.009 -4.510 3.415
Ag -7.025 -9.414 8.742
Ag -2.964 -0.992 0.764
```

=====

14.
Material: Pm2PrAg2
Method: DFT, PBE
State: optimized geometry

## Properties
theoretical density = 7.635 g cm⁻³
ΔE_f = -0.192 eV/atom
spin magnetization = 0.00 μB/atom
distance to the lowest polymorph of the same formula = 0 meV/atom
crystal system = monoclinic
final energy = -20.94 eV/f.u.

Structure (extended XYZ):
```
10
Lattice="-1.534 2.459 2.372 -1.717 -4.092 3.131 12.594 -0.724 5.960" Properties=species:S:1:pos:R:3 pbc="T T T"
Pm -0.158 -3.021 3.032
Pm 9.501 0.663 8.431
Pm 4.256 -2.831 5.700
Pm 5.087 0.473 5.763
Pr 6.338 -1.481 8.606
Pr 3.005 -0.877 2.857
Ag 1.304 -1.695 5.565
Ag 8.039 -0.662 5.898
Ag 9.454 -2.609 8.840
Ag -0.111 0.251 2.623
```

=====

15.
Material: Pm2PrAg6
Method: DFT, PBE
State: optimized geometry

## Properties
theoretical density = 8.215 g cm⁻³
ΔE_f = -0.189 eV/atom
spin magnetization = 0.00 μB/atom
distance to the lowest polymorph of the same formula = 69 meV/atom
crystal system = orthorhombic
final energy = -33.09 eV/f.u.

Structure (extended XYZ):
```
9
Lattice="-2.251 2.219 1.768 -7.737 -2.471 -3.039 -5.295 -5.592 3.987" Properties=species:S:1:pos:R:3 pbc="T T T"
Pm -2.652 -0.347 0.768
Pm -12.630 -5.497 1.948
Pr -7.641 -2.922 1.358
Ag -5.066 -1.670 -0.644
Ag -10.217 -4.174 3.361
Ag -11.094 -3.052 0.836
Ag -5.733 -5.031 2.726
Ag -7.299 -3.031 -1.778
Ag -4.189 -2.791 1.880
```

=====

16.
Material: PmPr4Ag2
Method: DFT, PBE
State: optimized geometry

## Properties
theoretical density = 6.517 g cm⁻³
ΔE_f = 0.103 eV/atom
spin magnetization = 0.00 μB/atom
crystal system = trigonal
final energy = -28.85 eV/f.u.

Structure (extended XYZ):
```
7
Lattice="5.592 0.000 0.000 2.796 4.843 0.000 2.796 1.614 8.698" Properties=species:S:1:pos:R:3 pbc="T T T"
Pm 5.592 3.228 4.349
Pr 8.388 4.843 7.105
Pr 8.388 4.843 3.312
Pr 2.796 1.614 1.593
Pr 2.796 1.614 5.386
Ag 5.592 3.228 1.437
Ag 5.592 3.228 7.261
```

=====

17.
Material: PmPr4Ag
Method: DFT, PBE
State: optimized geometry

## Properties
theoretical density = 6.716 g cm⁻³
ΔE_f = 0.034 eV/atom
spin magnetization = 0.00 μB/atom
distance to the lowest polymorph of the same formula = 98 meV/atom
crystal system = orthorhombic
final energy = -26.51 eV/f.u.

Structure (extended XYZ):
```
12
Lattice="5.546 0.000 0.000 0.000 6.644 0.000 -2.773 0.000 10.958" Properties=species:S:1:pos:R:3 pbc="T T T"
Pm 2.773 4.715 8.043
Pm 0.000 1.393 2.914
Pr 2.773 1.366 9.521
Pr 0.000 4.688 1.436
Pr 0.000 5.715 10.381
Pr 2.773 2.393 0.577
Pr 2.773 3.702 3.603
Pr 0.000 0.380 7.355
Pr 2.773 0.755 5.468
Pr 0.000 4.076 5.490
Ag 2.773 6.559 2.461
Ag 0.000 3.237 8.496
```

=====

18.
Material: PmPrAg2
Method: DFT, PBE
State: optimized geometry

## Properties
theoretical density = 7.837 g cm⁻³
ΔE_f = -0.250 eV/atom
spin magnetization = 0.00 μB/atom
distance to the lowest polymorph of the same formula = 9 meV/atom
crystal system = cubic
final energy = -16.23 eV/f.u.

Structure (extended XYZ):
```
4
Lattice="-3.305 -1.241 -3.976 0.110 -4.873 -2.125 -4.033 -3.361 0.845" Properties=species:S:1:pos:R:3 pbc="T T T"
Pr -3.614 -4.737 -2.628
Ag -1.807 -2.369 -1.314
Ag -5.420 -7.106 -3.942
Pm 0.000 0.000 0.000
```

=====

19.
Material: PmPrAg
Method: DFT, PBE
State: optimized geometry

## Properties
theoretical density = 6.619 g cm⁻³
ΔE_f = 0.086 eV/atom
spin magnetization = 0.36 μB/atom
distance to the lowest polymorph of the same formula = 240 meV/atom
crystal system = cubic
final energy = -12.12 eV/f.u.

Structure (extended XYZ):
```
3
Lattice="-3.815 -0.473 3.486 -0.242 -4.208 3.026 1.053 0.384 5.066" Properties=species:S:1:pos:R:3 pbc="T T T"
Pr -1.502 -2.149 5.789
Ag -0.751 -1.074 2.895
Pm 0.000 0.000 0.000
```

=====

20.
Material: Pm2Pr2Ag
Method: DFT, PBE
State: optimized geometry

## Properties
theoretical density = 7.080 g cm⁻³
ΔE_f = -0.089 eV/atom
spin magnetization = 0.00 μB/atom
crystal system = tetragonal
final energy = -22.36 eV/f.u.

Structure (extended XYZ):
```
5
Lattice="-1.056 -2.776 -2.217 3.524 -1.110 -0.287 -2.640 -4.914 10.508" Properties=species:S:1:pos:R:3 pbc="T T T"
Pm 1.004 -3.065 0.262
Pm -1.176 -5.735 7.741
Pr 0.373 -6.143 4.417
Pr -0.545 -2.657 3.587
Ag 0.000 0.000 0.000
```